w) VASP calculation (PBE-GGA) on a geometry-optimized Mg4Pd2Pt structure.

POSCAR file:
```
Mg4Pd2Pt
1.0
2.251 1.300 7.187
-2.251 1.300 7.187
0.000 -2.599 7.187
Mg Pd Pt
4 2 1
direct
0.121 0.121 0.121 Mg
0.372 0.372 0.372 Mg
0.628 0.628 0.628 Mg
0.879 0.879 0.879 Mg
0.247 0.247 0.247 Pd
0.753 0.753 0.753 Pd
0.500 0.500 0.500 Pt
```

## Properties
Density in g cm⁻³: 6.65
D(E_F) in states/eV/f.u.: 2.4
SG: R-3m
Volume in Å³ per atom: 18.02

***

x) VASP calculation (PBE-GGA) on a geometry-optimized Mg4Pd2Pt structure.

POSCAR file:
```
Mg4Pd2Pt
1.0
-3.971 3.971 3.962
3.971 -3.971 3.962
3.971 3.971 -3.962
Mg Pd Pt
8 4 2
direct
0.130 0.031 0.749 Mg
0.131 0.532 0.751 Mg
0.282 0.381 0.251 Mg
0.468 0.219 0.599 Mg
0.619 0.870 0.901 Mg
0.620 0.869 0.401 Mg
0.781 0.380 0.249 Mg
0.969 0.718 0.099 Mg
0.375 0.009 0.134 Pd
0.759 0.625 0.634 Pd
0.875 0.241 0.866 Pd
0.991 0.125 0.366 Pd
0.250 0.750 0.500 Pt
0.500 0.500 0.000 Pt
```

## Properties
Density in g cm⁻³: 6.71
D(E_F) in states/eV/f.u.: 2.7
SG: I-42d
Volume in Å³ per atom: 17.85

***

The most stable arrangement is w), and the next structure is 92 meV/atom less stable.